Entry from the Alexandria database: Sn3AsO after structural relaxation (PBE).

POSCAR file:
```
Sn3AsO
1.0
-3.143 -0.763 -4.364
4.430 -0.584 -3.089
-0.036 -5.346 0.960
As Sn O
1 3 1
Direct
0.000 0.000 0.000
0.000 0.500 0.000
0.000 0.000 0.500
0.500 0.000 0.000
0.500 0.500 0.500
```

Calculated values
distance to the lowest polymorph of the same formula = 5.127 eV/f.u.
E_tot = -17.4 eV/f.u.
density = 4.63 Mg/m³
M_tot = 0.000 μB/atom



Entry from the Alexandria database: HfSc3Tc after structural relaxation (PBE).

POSCAR file:
```
HfSc3Tc
1.0
4.949 0.000 0.000
0.000 4.949 0.000
0.000 0.000 4.949
Sc Hf Tc
3 1 1
Direct
0.000 0.500 0.000
0.000 0.000 0.500
0.500 0.000 0.000
0.500 0.500 0.500
0.000 0.000 0.000
```

Calculated values
distance to the lowest polymorph of the same formula = 2.623 eV/f.u.
E_tot = -37.5 eV/f.u.
density = 5.63 Mg/m³
E_form = 365.3 meV/atom
M_tot = 0.142 μB/atom



The highest density belongs to which entry? HfSc3Tc



Please write out number 2 again, unchanged.
Entry from the Alexandria database: HfSc3Tc after structural relaxation (PBE).

POSCAR file:
```
HfSc3Tc
1.0
4.949 0.000 0.000
0.000 4.949 0.000
0.000 0.000 4.949
Sc Hf Tc
3 1 1
Direct
0.000 0.500 0.000
0.000 0.000 0.500
0.500 0.000 0.000
0.500 0.500 0.500
0.000 0.000 0.000
```

Calculated values
distance to the lowest polymorph of the same formula = 2.623 eV/f.u.
E_tot = -37.5 eV/f.u.
density = 5.63 Mg/m³
E_form = 365.3 meV/atom
M_tot = 0.142 μB/atom



Which of these has the lowest M_tot? Sn3AsO